The following is a DFT calculation (PBE) of a geometry-optimized U2Si3GePt4 structure.

Structure (CIF):
```
data_U2Si3GePt4
_chemical_formula_sum 'U2 Si3 Ge1 Pt4'
_cell_length_a 4.240
_cell_length_b 4.240
_cell_length_c 9.890
_cell_angle_alpha 90.00
_cell_angle_beta 90.00
_cell_angle_gamma 90.00
_symmetry_space_group_name_H-M 'P -4 m 2'
_symmetry_Int_Tables_number 115
loop_
_symmetry_equiv_pos_as_xyz
'x,y,z'
'y,-x,-z'
'-x,-y,z'
'-y,x,-z'
'-x,y,z'
'-y,-x,-z'
'x,-y,z'
'y,x,-z'
loop_
_atom_site_label
_atom_site_type_symbol
_atom_site_fract_x
_atom_site_fract_y
_atom_site_fract_z
_atom_site_occupancy
U1 U 0.000 0.500 0.250 1
Si1 Si 0.000 0.000 0.000 1
Si2 Si 0.000 0.500 0.631 1
Ge1 Ge 0.500 0.500 0.000 1
Pt1 Pt 0.000 0.000 0.500 1
Pt2 Pt 0.000 0.500 0.871 1
Pt3 Pt 0.500 0.500 0.500 1
```

Summary:
Formation energy without anion corrections: -717 meV/atom
Uncorrected energy: -74.794 eV per formula unit
Calculated volume: 17.8 Å³ per atom
Crystal system: tetragonal

***

The following is a DFT calculation (PBE) of a geometry-optimized USi2Ge2Pt7 structure.

Structure (CIF):
```
data_USi2Ge2Pt7
_chemical_formula_sum 'U2 Si4 Ge4 Pt14'
_cell_length_a 5.546
_cell_length_b 5.482
_cell_length_c 15.403
_cell_angle_alpha 90.00
_cell_angle_beta 99.38
_cell_angle_gamma 90.00
_symmetry_space_group_name_H-M 'C 1 2/m 1'
_symmetry_Int_Tables_number 12
loop_
_symmetry_equiv_pos_as_xyz
'x,y,z'
'-x,-y,-z'
'-x,y,-z'
'x,-y,z'
'x+1/2,y+1/2,z'
'-x+1/2,-y+1/2,-z'
'-x+1/2,y+1/2,-z'
'x+1/2,-y+1/2,z'
loop_
_atom_site_label
_atom_site_type_symbol
_atom_site_fract_x
_atom_site_fract_y
_atom_site_fract_z
_atom_site_occupancy
U1 U 0.000 0.000 0.000 1
Si1 Si 0.109 0.500 0.246 1
Ge1 Ge 0.235 0.000 0.430 1
Pt1 Pt 0.000 0.500 0.000 1
Pt2 Pt 0.175 0.500 0.400 1
Pt3 Pt 0.184 0.250 0.849 1
```

Summary:
Formation energy without anion corrections: -479 meV/atom
Uncorrected energy: -79.401 eV per formula unit
Calculated volume: 19.3 Å³ per atom
Crystal system: monoclinic

***

The following is a DFT calculation (PBE) of a geometry-optimized Y2SiGe3Pt4 structure.

Structure (CIF):
```
data_Y2SiGe3Pt4
_chemical_formula_sum 'Y2 Si1 Ge3 Pt4'
_cell_length_a 4.307
_cell_length_b 4.307
_cell_length_c 9.979
_cell_angle_alpha 90.00
_cell_angle_beta 90.00
_cell_angle_gamma 90.00
_symmetry_space_group_name_H-M 'P -4 m 2'
_symmetry_Int_Tables_number 115
loop_
_symmetry_equiv_pos_as_xyz
'x,y,z'
'y,-x,-z'
'-x,-y,z'
'-y,x,-z'
'-x,y,z'
'-y,-x,-z'
'x,-y,z'
'y,x,-z'
loop_
_atom_site_label
_atom_site_type_symbol
_atom_site_fract_x
_atom_site_fract_y
_atom_site_fract_z
_atom_site_occupancy
Y1 Y 0.000 0.500 0.247 1
Si1 Si 0.500 0.500 0.000 1
Ge1 Ge 0.000 0.000 0.000 1
Ge2 Ge 0.000 0.500 0.635 1
Pt1 Pt 0.000 0.000 0.500 1
Pt2 Pt 0.000 0.500 0.880 1
Pt3 Pt 0.500 0.500 0.500 1
```

Summary:
Formation energy without anion corrections: -923 meV/atom
Uncorrected energy: -65.592 eV per formula unit
Calculated volume: 18.5 Å³ per atom
Crystal system: tetragonal

***

The following is a DFT calculation (PBE) of a geometry-optimized Y2SiGePt6 structure.

Structure (CIF):
```
data_Y2SiGePt6
_chemical_formula_sum 'Y4 Si2 Ge2 Pt12'
_cell_length_a 5.550
_cell_length_b 8.554
_cell_length_c 8.227
_cell_angle_alpha 90.00
_cell_angle_beta 90.00
_cell_angle_gamma 90.00
_symmetry_space_group_name_H-M 'P m m n'
_symmetry_Int_Tables_number 59
loop_
_symmetry_equiv_pos_as_xyz
'x,y,z'
'-x,-y,-z'
'-x+1/2,-y+1/2,z'
'x+1/2,y+1/2,-z'
'x+1/2,-y,-z'
'-x+1/2,y,z'
'-x,y+1/2,-z'
'x,-y+1/2,z'
loop_
_atom_site_label
_atom_site_type_symbol
_atom_site_fract_x
_atom_site_fract_y
_atom_site_fract_z
_atom_site_occupancy
Y1 Y 0.250 0.001 0.234 1
Si1 Si 0.250 0.750 0.753 1
Ge1 Ge 0.250 0.250 0.769 1
Pt1 Pt 0.000 0.250 0.498 1
Pt2 Pt 0.001 0.750 0.985 1
Pt3 Pt 0.250 0.000 0.618 1
```

Summary:
Formation energy without anion corrections: -914 meV/atom
Uncorrected energy: -68.355 eV per formula unit
Calculated volume: 19.5 Å³ per atom
Crystal system: orthorhombic

***

The following is a DFT calculation (PBE) of a geometry-optimized Y3Si2GePt9 structure.

Structure (CIF):
```
data_Y3Si2GePt9
_chemical_formula_sum 'Y3 Si2 Ge1 Pt9'
_cell_length_a 6.4105
_cell_length_b 6.4105
_cell_length_c 8.7263
_cell_angle_alpha 90.00
_cell_angle_beta 90.00
_cell_angle_gamma 120.00
_symmetry_space_group_name_H-M 'P -3 m 1'
_symmetry_Int_Tables_number 164
_symmetry_space_group_name_Hall '-P 3 2"'
loop_
_atom_site_label
_atom_site_type_symbol
_atom_site_fract_x
_atom_site_fract_y
_atom_site_fract_z
_atom_site_occupancy
Y1 Y 0.0000 0.0000 0.0000 1
Y2 Y 0.3333 0.6667 0.7192 1
Si1 Si 0.3333 0.6667 0.1846 1
Ge1 Ge 0.0000 0.0000 0.5000 1
Pt1 Pt 0.0000 0.5000 0.0000 1
Pt2 Pt 0.1434 0.2868 0.2797 1
```

Summary:
Formation energy without anion corrections: -731 meV/atom
Uncorrected energy: -100.189 eV per formula unit
Calculated volume: 20.7 Å³ per atom
Crystal system: trigonal

***

The following is a DFT calculation (PBE) of a geometry-optimized Sm4GePt3 structure.

Structure (CIF):
```
data_Sm4GePt3
_chemical_formula_sum 'Sm4 Ge1 Pt3'
_cell_length_a 3.979
_cell_length_b 4.411
_cell_length_c 10.911
_cell_angle_alpha 90.00
_cell_angle_beta 90.00
_cell_angle_gamma 90.00
_symmetry_space_group_name_H-M 'P m m 2'
_symmetry_Int_Tables_number 25
loop_
_symmetry_equiv_pos_as_xyz
'x,y,z'
'-x,-y,z'
'-x,y,z'
'x,-y,z'
loop_
_atom_site_label
_atom_site_type_symbol
_atom_site_fract_x
_atom_site_fract_y
_atom_site_fract_z
_atom_site_occupancy
Sm1 Sm 0.000 0.000 0.000 1
Sm2 Sm 0.000 0.500 0.273 1
Sm3 Sm 0.500 0.000 0.492 1
Sm4 Sm 0.500 0.500 0.773 1
Ge1 Ge 0.000 0.000 0.715 1
Pt1 Pt 0.000 0.500 0.550 1
Pt2 Pt 0.500 0.000 0.221 1
Pt3 Pt 0.500 0.500 0.046 1
```

Summary:
Uncorrected energy: -50.407 eV per formula unit
Energy of formation: -1.0989 eV per atom
Calculated volume: 23.9 Å³ per atom
Crystal system: orthorhombic

***

The following is a DFT calculation (PBE) of a geometry-optimized SmGePt structure.

Structure (CIF):
```
data_SmGePt
_chemical_formula_sum 'Sm8 Ge8 Pt8'
_cell_length_a 4.453
_cell_length_b 14.441
_cell_length_c 7.649
_cell_angle_alpha 90.00
_cell_angle_beta 90.00
_cell_angle_gamma 90.00
_symmetry_space_group_name_H-M 'P m m n'
_symmetry_Int_Tables_number 59
loop_
_symmetry_equiv_pos_as_xyz
'x,y,z'
'-x,-y,-z'
'-x+1/2,-y+1/2,z'
'x+1/2,y+1/2,-z'
'x+1/2,-y,-z'
'-x+1/2,y,z'
'-x,y+1/2,-z'
'x,-y+1/2,z'
loop_
_atom_site_label
_atom_site_type_symbol
_atom_site_fract_x
_atom_site_fract_y
_atom_site_fract_z
_atom_site_occupancy
Sm1 Sm 0.250 0.002 0.209 1
Sm2 Sm 0.250 0.250 0.296 1
Sm3 Sm 0.250 0.750 0.293 1
Ge1 Ge 0.250 0.100 0.590 1
Ge2 Ge 0.250 0.655 0.911 1
Pt1 Pt 0.250 0.141 0.921 1
Pt2 Pt 0.250 0.599 0.583 1
```

Summary:
Uncorrected energy: -18.727 eV per formula unit
Energy of formation: -1.1165 eV per atom
Calculated volume: 20.5 Å³ per atom
Crystal system: orthorhombic

***

The following is a DFT calculation (PBE) of a geometry-optimized Sm5Ge2Pt2 structure.

Structure (CIF):
```
data_Sm5Ge2Pt2
_chemical_formula_sum 'Sm20 Ge8 Pt8'
_cell_length_a 15.362
_cell_length_b 7.695
_cell_length_c 7.732
_cell_angle_alpha 90.00
_cell_angle_beta 90.00
_cell_angle_gamma 90.00
_symmetry_space_group_name_H-M 'C m c e'
_symmetry_Int_Tables_number 64
_symmetry_space_group_name_Hall '-C 2ac 2'
loop_
_atom_site_label
_atom_site_type_symbol
_atom_site_fract_x
_atom_site_fract_y
_atom_site_fract_z
_atom_site_occupancy
Sm1 Sm 0.000 0.000 0.000 1
Sm2 Sm 0.142 0.174 0.334 1
Ge1 Ge 0.000 0.123 0.624 1
Pt1 Pt 0.201 0.000 0.000 1
```

Summary:
Uncorrected energy: -53.022 eV per formula unit
Energy of formation: -0.9011 eV per atom
Calculated volume: 25.4 Å³ per atom
Crystal system: orthorhombic

***

The following is a DFT calculation (PBE) of a geometry-optimized SmGePt structure.

Structure (CIF):
```
data_SmGePt
_chemical_formula_sum 'Sm4 Ge4 Pt4'
_cell_length_a 7.215
_cell_length_b 4.430
_cell_length_c 7.695
_cell_angle_alpha 90.00
_cell_angle_beta 90.00
_cell_angle_gamma 90.00
_symmetry_space_group_name_H-M 'P n m a'
_symmetry_Int_Tables_number 62
loop_
_symmetry_equiv_pos_as_xyz
'x,y,z'
'-x,-y,-z'
'-x+1/2,-y,z+1/2'
'x+1/2,y,-z+1/2'
'x+1/2,-y+1/2,-z+1/2'
'-x+1/2,y+1/2,z+1/2'
'-x,y+1/2,-z'
'x,-y+1/2,z'
loop_
_atom_site_label
_atom_site_type_symbol
_atom_site_fract_x
_atom_site_fract_y
_atom_site_fract_z
_atom_site_occupancy
Sm1 Sm 0.004 0.250 0.203 1
Ge1 Ge 0.188 0.250 0.588 1
Pt1 Pt 0.204 0.750 0.415 1
```

Summary:
Uncorrected energy: -18.683 eV per formula unit
Energy of formation: -1.1018 eV per atom
Calculated volume: 20.5 Å³ per atom
Crystal system: orthorhombic

***

no.,density of states at the Fermi level (states/eV per atom)
1,1.827
2,0.709
3,0.696
4,0.565
5,0.502
6,0.712
7,0.350
8,1.021
9,0.647